Arrangement w

DFT (PBE-GGA) results for ScGeC3 after structural relaxation.

Summary:
Crystal system ... cubic

Unit cell a=4.2363 b=4.2363 c=4.2363 alpha=90.00 beta=90.00 gamma=90.00
Space group Pm-3m (No. 221)
Symmetry-distinct sites (fractional):
1 Sc 0.0000 0.0000 0.0000 [1 per cell]
2 Ge 0.5000 0.5000 0.5000 [1 per cell]
3 C 0.0000 0.0000 0.5000 [3 per cell]

=====

Arrangement x

DFT (PBE-GGA) results for ScGeC3 after structural relaxation.

Summary:
Crystal system ... cubic

Unit cell a=3.9297 b=3.9297 c=3.9297 alpha=90.00 beta=90.00 gamma=90.00
Space group Pm-3m (No. 221)
Symmetry-distinct sites (fractional):
1 Sc 0.0000 0.0000 0.0000 [1 per cell]
2 Ge 0.5000 0.5000 0.5000 [1 per cell]
3 C 0.0000 0.5000 0.5000 [3 per cell]

=====

Verdict on stability: arrangement w comes out at the bottom.

=====

Arrangement w

DFT (PBE-GGA) results for ScGe2C2 after structural relaxation.

Summary:
Crystal system ... tetragonal

Unit cell a=7.0116 b=7.0116 c=3.1141 alpha=90.00 beta=90.00 gamma=90.00
Space group P4/mbm (No. 127)
Symmetry-distinct sites (fractional):
1 Sc 0.0000 0.0000 0.0000 [2 per cell]
2 Ge 0.1190 0.3810 0.0000 [4 per cell]
3 C 0.2306 0.2694 0.5000 [4 per cell]

=====

Arrangement x

DFT (PBE-GGA) results for ScGe2C2 after structural relaxation.

Summary:
Crystal system ... tetragonal

Unit cell a=4.0900 b=4.0900 c=7.7782 alpha=90.00 beta=90.00 gamma=90.00
Space group I4/mmm (No. 139)
Symmetry-distinct sites (fractional):
1 Sc 0.0000 0.0000 0.0000 [2 per cell]
2 Ge 0.0000 0.0000 0.3356 [4 per cell]
3 C 0.0000 0.5000 0.2500 [4 per cell]

=====

Verdict on stability: arrangement w comes out at the bottom.